1.
# La2Pm6NdTm3 (GGA-PBE, optimized geometry)
data_La2Pm6NdTm3
_chemical_formula_sum 'La4 Pm12 Nd2 Tm6'
_cell_length_a 6.296
_cell_length_b 10.912
_cell_length_c 12.001
_cell_angle_alpha 90.00
_cell_angle_beta 100.08
_cell_angle_gamma 90.00
_space_group_name_H-M_alt 'C 1 2/m 1'
_space_group_IT_number 12
_space_group_name_Hall '-C 2y'
loop_
_atom_site_label
_atom_site_fract_x
_atom_site_fract_y
_atom_site_fract_z
_atom_site_occupancy
La1 0.000 0.167 0.000 1
Pm1 0.247 0.166 0.743 1
Pm2 0.247 0.500 0.743 1
Nd1 0.000 0.500 0.000 1
Tm1 0.000 0.000 0.500 1
Tm2 0.000 0.333 0.500 1
# **E_tot**: -4.6885 eV per atom
# **Spin magnetization**: 0.00 μB/f.u.

2.
# Cs4Tb3ThSe8 (GGA-PBE, optimized geometry)
data_Cs4Tb3ThSe8
_chemical_formula_sum 'Cs12 Tb9 Th3 Se24'
_cell_length_a 8.5773
_cell_length_b 8.5773
_cell_length_c 25.2356
_cell_angle_alpha 90.00
_cell_angle_beta 90.00
_cell_angle_gamma 120.00
_space_group_name_H-M_alt 'R -3 m'
_space_group_IT_number 166
_space_group_name_Hall '-R 3 2"'
loop_
_atom_site_label
_atom_site_fract_x
_atom_site_fract_y
_atom_site_fract_z
_atom_site_occupancy
Cs1 0.0000 0.0000 0.0000 1
Cs2 0.0000 0.5000 0.0000 1
Tb1 0.0000 0.5000 0.5000 1
Th1 0.0000 0.0000 0.5000 1
Se1 0.0000 0.0000 0.2286 1
Se2 0.0015 0.5008 0.7704 1
# **E_tot**: -4.9667 eV per atom
# **Formation energy without anion corrections**: -1.68 eV/atom
# **Spin magnetization**: 0.00 μB/f.u.

3.
# BPtBr (GGA-PBE, optimized geometry)
data_BPtBr
_chemical_formula_sum 'B4 Pt4 Br4'
_cell_length_a 16.792
_cell_length_b 3.290
_cell_length_c 4.490
_cell_angle_alpha 90.00
_cell_angle_beta 92.68
_cell_angle_gamma 90.00
_space_group_name_H-M_alt 'C 1 2/m 1'
_space_group_IT_number 12
_space_group_name_Hall '-C 2y'
loop_
_atom_site_label
_atom_site_fract_x
_atom_site_fract_y
_atom_site_fract_z
_atom_site_occupancy
B1 0.210 0.000 0.493 1
Pt1 0.192 0.500 0.205 1
Br1 0.109 0.000 0.792 1
# **E_tot**: -4.8996 eV per atom
# **Formation energy without anion corrections**: -0.10 eV/atom
# **Spin magnetization**: 0.00 μB/f.u.

4.
# Cs2K2Sn3 (GGA-PBE, optimized geometry)
data_Cs2K2Sn3
_chemical_formula_sum 'Cs4 K4 Sn6'
_cell_length_a 13.513
_cell_length_b 6.313
_cell_length_c 8.771
_cell_angle_alpha 90.00
_cell_angle_beta 121.65
_cell_angle_gamma 90.00
_space_group_name_H-M_alt 'C 1 2/m 1'
_space_group_IT_number 12
_space_group_name_Hall '-C 2y'
loop_
_atom_site_label
_atom_site_fract_x
_atom_site_fract_y
_atom_site_fract_z
_atom_site_occupancy
Cs1 0.176 0.000 0.052 1
K1 0.151 0.000 0.501 1
Sn1 0.000 0.500 0.500 1
Sn2 0.028 0.500 0.192 1
# **E_tot**: -2.4302 eV per atom
# **Spin magnetization**: 0.00 μB/f.u.

5.
# BaMgCoGe (GGA-PBE, optimized geometry)
data_BaMgCoGe
_chemical_formula_sum 'Ba2 Mg2 Co2 Ge2'
_cell_length_a 4.094
_cell_length_b 4.094
_cell_length_c 12.707
_cell_angle_alpha 90.00
_cell_angle_beta 90.00
_cell_angle_gamma 90.00
_space_group_name_H-M_alt 'P 4/n m m'
_space_group_IT_number 129
loop_
_space_group_symop_operation_xyz
'x,y,z'
'-x,-y,-z'
'-y+1/2,x,z'
'y+1/2,-x,-z'
'-x+1/2,-y+1/2,z'
'x+1/2,y+1/2,-z'
'y,-x+1/2,z'
'-y,x+1/2,-z'
'x+1/2,-y,-z'
'-x+1/2,y,z'
'-y,-x,-z'
'y,x,z'
'-x,y+1/2,-z'
'x,-y+1/2,z'
'y+1/2,x+1/2,-z'
'-y+1/2,-x+1/2,z'
loop_
_atom_site_label
_atom_site_fract_x
_atom_site_fract_y
_atom_site_fract_z
_atom_site_occupancy
Ba1 0.250 0.250 0.228 1
Mg1 0.250 0.750 0.500 1
Co1 0.250 0.750 0.000 1
Ge1 0.250 0.250 0.907 1
# **E_tot**: -4.0195 eV per atom
# **Spin magnetization**: 0.00 μB/f.u.

6.
# ScCd2Ni6 (GGA-PBE, optimized geometry)
data_ScCd2Ni6
_chemical_formula_sum 'Sc4 Cd8 Ni24'
_cell_length_a 8.132
_cell_length_b 8.132
_cell_length_c 8.132
_cell_angle_alpha 90.00
_cell_angle_beta 90.00
_cell_angle_gamma 90.00
_space_group_name_H-M_alt 'F m -3 m'
_space_group_IT_number 225
_space_group_name_Hall '-F 4 2 3'
loop_
_atom_site_label
_atom_site_fract_x
_atom_site_fract_y
_atom_site_fract_z
_atom_site_occupancy
Sc1 0.000 0.000 0.000 1
Cd1 0.250 0.250 0.250 1
Ni1 0.000 0.000 0.291 1
# **E_tot**: -4.5320 eV per atom
# **Spin magnetization**: 0.00 μB/f.u.

7.
# PuH8Ir2Pd (GGA-PBE, optimized geometry)
data_PuH8Ir2Pd
_chemical_formula_sum 'Pu3 H24 Ir6 Pd3'
_cell_length_a 4.7749
_cell_length_b 4.7749
_cell_length_c 16.5000
_cell_angle_alpha 90.00
_cell_angle_beta 90.00
_cell_angle_gamma 120.00
_space_group_name_H-M_alt 'R -3'
_space_group_IT_number 148
_space_group_name_Hall '-R 3'
loop_
_atom_site_label
_atom_site_fract_x
_atom_site_fract_y
_atom_site_fract_z
_atom_site_occupancy
Pu1 0.0000 0.0000 0.0000 1
H1 0.0000 0.0000 0.3149 1
H2 0.0084 0.6984 0.1109 1
Ir1 0.0000 0.0000 0.2151 1
Pd1 0.0000 0.0000 0.5000 1
# **E_tot**: -5.3947 eV per atom
# **Spin magnetization**: 5.44 μB/f.u.

8.
# CuTc3Pb (GGA-PBE, optimized geometry)
data_CuTc3Pb
_chemical_formula_sum 'Cu1 Tc3 Pb1'
_cell_length_a 4.566
_cell_length_b 4.566
_cell_length_c 4.566
_cell_angle_alpha 90.00
_cell_angle_beta 90.00
_cell_angle_gamma 90.00
_space_group_name_H-M_alt 'P m -3 m'
_space_group_IT_number 221
_space_group_name_Hall '-P 4 2 3'
loop_
_atom_site_label
_atom_site_fract_x
_atom_site_fract_y
_atom_site_fract_z
_atom_site_occupancy
Cu1 0.000 0.000 0.000 1
Tc1 0.000 0.000 0.500 1
Pb1 0.500 0.500 0.500 1
# **E_tot**: -6.2929 eV per atom
# **Energy above the lowest structure with this stoichiometry**: 0.000 eV per atom
# **Spin magnetization**: 4.48 μB/f.u.

9.
# GaHO (GGA-PBE, optimized geometry)
data_GaHO
_chemical_formula_sum 'Ga1 H1 O1'
_cell_length_a 2.891
_cell_length_b 2.891
_cell_length_c 3.434
_cell_angle_alpha 90.00
_cell_angle_beta 90.00
_cell_angle_gamma 90.00
_space_group_name_H-M_alt 'P 4/m m m'
_space_group_IT_number 123
_space_group_name_Hall '-P 4 2'
loop_
_atom_site_label
_atom_site_fract_x
_atom_site_fract_y
_atom_site_fract_z
_atom_site_occupancy
Ga1 0.000 0.000 0.000 1
H1 0.000 0.000 0.500 1
O1 0.500 0.500 0.000 1
# **E_tot**: -4.5193 eV per atom
# **Energy above the lowest structure with this stoichiometry**: 0.181 eV per atom
# **Spin magnetization**: 0.00 μB/f.u.

10.
# Ba2AcSbO6 (GGA-PBE, optimized geometry)
data_Ba2AcSbO6
_chemical_formula_sum 'Ba4 Ac2 Sb2 O12'
_cell_length_a 6.275
_cell_length_b 6.228
_cell_length_c 10.749
_cell_angle_alpha 90.00
_cell_angle_beta 124.88
_cell_angle_gamma 90.00
_space_group_name_H-M_alt 'P 1 21/c 1'
_space_group_IT_number 14
_space_group_name_Hall '-P 2ybc'
loop_
_atom_site_label
_atom_site_fract_x
_atom_site_fract_y
_atom_site_fract_z
_atom_site_occupancy
Ba1 0.239 0.015 0.247 1
Ac1 0.500 0.000 0.000 1
Sb1 0.000 0.000 0.500 1
O1 0.167 0.246 0.461 1
O2 0.203 0.712 0.963 1
O3 0.294 0.010 0.725 1
# **E_tot**: -6.7422 eV per atom
# **Formation energy without anion corrections**: -2.56 eV/atom
# **Spin magnetization**: 0.00 μB/f.u.

Q: Number 9 is which compound?
A: GaHO

Q: Which formula does entry 7 have?
A: PuH8Ir2Pd